# 1
Computed, not measured: AcAlZnAg6 after structural relaxation at the PBE-GGA level of DFT.

a = 8.415 Å, b = 8.638 Å, c = 12.133 Å
α = 90.00°, β = 90.00°, γ = 90.00°
Space group Imma (No. 74)
Inequivalent atoms, fractional coordinates:
Ac: 0.000 0.250 0.131 x4
Al: 0.250 0.250 0.750 x4
Zn: 0.000 0.000 0.500 x4
Ag: 0.000 0.250 0.387 x4
Ag: 0.000 0.250 0.869 x4
Ag: 0.241 0.011 0.626 x16

Calculated values
DFT formation energy = 0.20 eV per atom
Total DFT energy (no corrections) = -2.719 eV/atom
DOS(E_F) = 4.5 states/eV/f.u.

# 2
Computed, not measured: AcAgAs4 after structural relaxation at the PBE-GGA level of DFT.

a = 8.196 Å, b = 8.196 Å, c = 8.196 Å
α = 90.00°, β = 90.00°, γ = 90.00°
Space group F-43m (No. 216)
Inequivalent atoms, fractional coordinates:
Ac: 0.000 0.000 0.000 x4
Ag: 0.250 0.250 0.750 x4
As: 0.120 0.120 0.380 x16

Calculated values
DFT formation energy = -0.19 eV per atom
Total DFT energy (no corrections) = -4.448 eV/atom
DOS(E_F) = 4.5 states/eV/f.u.

# 3
Computed, not measured: AcAg2As2 after structural relaxation at the PBE-GGA level of DFT.

a = 4.290 Å, b = 4.290 Å, c = 12.500 Å
α = 90.00°, β = 90.00°, γ = 90.00°
Space group I4/mmm (No. 139)
Inequivalent atoms, fractional coordinates:
Ac: 0.000 0.000 0.000 x2
Ag: 0.000 0.500 0.250 x4
As: 0.000 0.000 0.388 x4

Calculated values
DFT formation energy = -0.55 eV per atom
Total DFT energy (no corrections) = -4.373 eV/atom
DOS(E_F) = 2.0 states/eV/f.u.

# 4
Computed, not measured: Ac4Ag2As after structural relaxation at the PBE-GGA level of DFT.

a = 6.040 Å, b = 6.040 Å, c = 15.255 Å
α = 90.00°, β = 90.00°, γ = 90.00°
Space group I4/mmm (No. 139)
Inequivalent atoms, fractional coordinates:
Ac: 0.000 0.000 0.200 x4
Ac: 0.000 0.500 0.000 x4
Ag: 0.000 0.000 0.403 x4
As: 0.000 0.000 0.000 x2

Calculated values
DFT formation energy = -0.30 eV per atom
Total DFT energy (no corrections) = -4.125 eV/atom
DOS(E_F) = 9.3 states/eV/f.u.

# 5
Computed, not measured: AcAg2As after structural relaxation at the PBE-GGA level of DFT.

a = 4.420 Å, b = 4.420 Å, c = 5.233 Å
α = 90.00°, β = 90.00°, γ = 90.00°
Space group P4/mmm (No. 123)
Inequivalent atoms, fractional coordinates:
Ac: 0.000 0.000 0.000 x1
Ag: 0.000 0.500 0.500 x2
As: 0.500 0.500 0.000 x1

Calculated values
DFT formation energy = -0.36 eV per atom
Total DFT energy (no corrections) = -3.974 eV/atom
DOS(E_F) = 0.5 states/eV/f.u.

# 6
Computed, not measured: AcAgAs2Au after structural relaxation at the PBE-GGA level of DFT.

a = 6.011 Å, b = 13.183 Å, c = 6.057 Å
α = 90.00°, β = 90.00°, γ = 90.00°
Space group Cmme (No. 67)
Inequivalent atoms, fractional coordinates:
Ac: 0.000 0.250 0.248 x4
Ag: 0.250 0.000 0.500 x4
As: 0.000 0.145 0.730 x8
Au: 0.000 0.000 0.000 x4

Calculated values
DFT formation energy = -0.50 eV per atom
Total DFT energy (no corrections) = -4.408 eV/atom
DOS(E_F) = 2.1 states/eV/f.u.

# 7
Computed, not measured: BaAcAgAs after structural relaxation at the PBE-GGA level of DFT.

a = 7.933 Å, b = 7.933 Å, c = 7.933 Å
α = 90.00°, β = 90.00°, γ = 90.00°
Space group F-43m (No. 216)
Inequivalent atoms, fractional coordinates:
Ba: 0.000 0.000 0.000 x4
Ac: 0.000 0.000 0.500 x4
Ag: 0.250 0.250 0.750 x4
As: 0.250 0.250 0.250 x4

Calculated values
DFT formation energy = -0.61 eV per atom
Total DFT energy (no corrections) = -3.991 eV/atom
DOS(E_F) = 3.2 states/eV/f.u.

# 8
Computed, not measured: AcCuAgAs after structural relaxation at the PBE-GGA level of DFT.

a = 7.148 Å, b = 7.148 Å, c = 7.148 Å
α = 90.00°, β = 90.00°, γ = 90.00°
Space group F-43m (No. 216)
Inequivalent atoms, fractional coordinates:
Ac: 0.000 0.000 0.000 x4
Cu: 0.250 0.250 0.250 x4
Ag: 0.250 0.250 0.750 x4
As: 0.000 0.000 0.500 x4

Calculated values
DFT formation energy = -0.17 eV per atom
Total DFT energy (no corrections) = -4.092 eV/atom
DOS(E_F) = 1.9 states/eV/f.u.